Entry from the Alexandria database: a geometry-optimized FeNiIr2 structure (PBE).

Computed properties:
Calculated formation energy   0.562 eV per atom
V   115 Å³ per cell
Energy relative to the lowest polymorph listed for this composition   603 meV per atom
Total energy   -7.43 eV/atom

Geometry as CIF:
```
data_FeNiIr2
_symmetry_space_group_name_H-M 'P 1'
_symmetry_Int_Tables_number 1
_cell_length_a 6.610
_cell_length_b 6.610
_cell_length_c 5.362
_cell_angle_alpha 51.95
_cell_angle_beta 51.95
_cell_angle_gamma 90.00
loop_
_symmetry_equiv_pos_as_xyz
'x,y,z'
loop_
_atom_site_label
_atom_site_fract_x
_atom_site_fract_y
_atom_site_fract_z
Ni1 0.000 0.000 0.000
Ir1 0.609 0.125 0.250
Fe1 0.250 0.750 0.500
Ni2 0.750 0.250 0.500
Ir2 0.875 0.859 0.750
Fe2 0.500 0.500 0.000
Ir3 0.375 0.391 0.750
Ir4 0.141 0.625 0.250
```

Entry from the Alexandria database: a geometry-optimized Al5Ga3 structure (PBE).

Computed properties:
Calculated formation energy   0.041 eV per atom
V   138 Å³ per cell
Energy relative to the lowest polymorph listed for this composition   0 meV per atom
Total energy   -3.43 eV/atom

Geometry as CIF:
```
data_Al5Ga3
_symmetry_space_group_name_H-M 'P 1'
_symmetry_Int_Tables_number 1
_cell_length_a 4.952
_cell_length_b 4.952
_cell_length_c 6.533
_cell_angle_alpha 106.75
_cell_angle_beta 106.75
_cell_angle_gamma 103.85
loop_
_symmetry_equiv_pos_as_xyz
'x,y,z'
loop_
_atom_site_label
_atom_site_fract_x
_atom_site_fract_y
_atom_site_fract_z
Al1 0.124 0.624 0.249
Ga1 0.247 0.247 0.494
Ga2 0.753 0.753 0.506
Al2 0.000 0.000 0.000
Al3 0.376 0.876 0.751
Ga3 0.500 0.500 0.000
Al4 0.624 0.124 0.249
Al5 0.876 0.376 0.751
```

Entry from the Alexandria database: a geometry-optimized SrZn2GeRh structure (PBE).

Computed properties:
Calculated formation energy   -0.336 eV per atom
V   112 Å³ per cell
Energy relative to the lowest polymorph listed for this composition   60 meV per atom
Total energy   -3.58 eV/atom

Geometry as CIF:
```
data_SrZn2GeRh
_symmetry_space_group_name_H-M 'P 1'
_symmetry_Int_Tables_number 1
_cell_length_a 4.866
_cell_length_b 4.866
_cell_length_c 4.746
_cell_angle_alpha 90.00
_cell_angle_beta 90.00
_cell_angle_gamma 90.00
loop_
_symmetry_equiv_pos_as_xyz
'x,y,z'
loop_
_atom_site_label
_atom_site_fract_x
_atom_site_fract_y
_atom_site_fract_z
Ge1 0.000 0.000 0.500
Rh1 0.000 0.000 0.000
Zn1 0.500 0.000 0.000
Zn2 0.000 0.500 0.000
Sr1 0.500 0.500 0.500
```

Entry from the Alexandria database: a geometry-optimized La3PmPr7 structure (PBE).

Computed properties:
Calculated formation energy   0.197 eV per atom
V   411 Å³ per cell
Energy relative to the lowest polymorph listed for this composition   0 meV per atom
Total energy   -4.62 eV/atom

Geometry as CIF:
```
data_La3PmPr7
_symmetry_space_group_name_H-M 'P 1'
_symmetry_Int_Tables_number 1
_cell_length_a 6.586
_cell_length_b 7.959
_cell_length_c 7.959
_cell_angle_alpha 81.81
_cell_angle_beta 86.13
_cell_angle_gamma 86.13
loop_
_symmetry_equiv_pos_as_xyz
'x,y,z'
loop_
_atom_site_label
_atom_site_fract_x
_atom_site_fract_y
_atom_site_fract_z
Pr1 0.000 0.500 0.500
Pr2 0.262 0.082 0.429
Pr3 0.213 0.763 0.763
Pr4 0.787 0.237 0.237
Pr5 0.738 0.571 0.918
La1 0.500 0.000 0.000
Pr6 0.738 0.918 0.571
La2 0.000 0.174 0.826
Pr7 0.262 0.429 0.082
Pm1 0.500 0.500 0.500
La3 0.000 0.826 0.174
```

Entry from the Alexandria database: a geometry-optimized La6SnAu5 structure (PBE).

Computed properties:
Calculated formation energy   -0.771 eV per atom
V   332 Å³ per cell
Total energy   -4.93 eV/atom

Geometry as CIF:
```
data_La6SnAu5
_symmetry_space_group_name_H-M 'P 1'
_symmetry_Int_Tables_number 1
_cell_length_a 5.335
_cell_length_b 7.704
_cell_length_c 8.502
_cell_angle_alpha 90.00
_cell_angle_beta 108.42
_cell_angle_gamma 90.00
loop_
_symmetry_equiv_pos_as_xyz
'x,y,z'
loop_
_atom_site_label
_atom_site_fract_x
_atom_site_fract_y
_atom_site_fract_z
La1 0.500 0.261 0.000
Au1 0.344 0.000 0.683
La2 0.830 0.749 0.658
La3 0.170 0.251 0.342
La4 0.170 0.749 0.342
Au2 0.000 0.500 0.000
Au3 0.656 0.000 0.317
La5 0.830 0.251 0.658
Au4 0.665 0.500 0.334
Sn1 0.000 0.000 0.000
La6 0.500 0.739 0.000
Au5 0.335 0.500 0.666
```

Entry from the Alexandria database: a geometry-optimized InPb2Cl structure (PBE).

Computed properties:
ΔE_f (raw)   -259 meV/atom
V   117 Å³ per cell
Energy relative to the lowest polymorph listed for this composition   52 meV per atom
Total energy   -3.26 eV/atom

Geometry as CIF:
```
data_InPb2Cl
_symmetry_space_group_name_H-M 'P 1'
_symmetry_Int_Tables_number 1
_cell_length_a 3.474
_cell_length_b 3.474
_cell_length_c 10.863
_cell_angle_alpha 90.00
_cell_angle_beta 90.00
_cell_angle_gamma 117.30
loop_
_symmetry_equiv_pos_as_xyz
'x,y,z'
loop_
_atom_site_label
_atom_site_fract_x
_atom_site_fract_y
_atom_site_fract_z
Cl1 0.000 0.000 0.515
Pb1 0.500 0.500 0.272
Pb2 0.000 0.000 0.998
In1 0.500 0.500 0.715
```

Entry from the Alexandria database: a geometry-optimized Pr8NiRh3Cl4 structure (PBE).

Computed properties:
ΔE_f (raw)   -1100 meV/atom
V   446 Å³ per cell
Total energy   -5.69 eV/atom

Geometry as CIF:
```
data_Pr8NiRh3Cl4
_symmetry_space_group_name_H-M 'P 1'
_symmetry_Int_Tables_number 1
_cell_length_a 8.231
_cell_length_b 8.972
_cell_length_c 8.230
_cell_angle_alpha 117.34
_cell_angle_beta 120.00
_cell_angle_gamma 90.00
loop_
_symmetry_equiv_pos_as_xyz
'x,y,z'
loop_
_atom_site_label
_atom_site_fract_x
_atom_site_fract_y
_atom_site_fract_z
Pr1 0.262 0.297 0.029
Cl1 0.500 0.000 0.500
Pr2 0.233 0.703 0.971
Ni1 0.000 0.500 0.000
Cl2 0.500 0.000 0.000
Rh1 0.500 0.500 0.500
Rh2 0.000 0.500 0.500
Rh3 0.500 0.500 0.000
Pr3 0.767 0.297 0.535
Pr4 0.736 0.707 0.472
Pr5 0.767 0.297 0.029
Cl3 0.000 0.000 0.000
Pr6 0.233 0.703 0.465
Pr7 0.264 0.293 0.528
Cl4 0.000 0.000 0.500
Pr8 0.738 0.703 0.971
```

Entry from the Alexandria database: a geometry-optimized La2Y3Er6Tm structure (PBE).

Computed properties:
Calculated formation energy   0.027 eV per atom
V   383 Å³ per cell
Total energy   -5.06 eV/atom

Geometry as CIF:
```
data_La2Y3Er6Tm
_symmetry_space_group_name_H-M 'P 1'
_symmetry_Int_Tables_number 1
_cell_length_a 6.172
_cell_length_b 6.172
_cell_length_c 11.787
_cell_angle_alpha 94.99
_cell_angle_beta 94.99
_cell_angle_gamma 119.97
loop_
_symmetry_equiv_pos_as_xyz
'x,y,z'
loop_
_atom_site_label
_atom_site_fract_x
_atom_site_fract_y
_atom_site_fract_z
Er1 0.915 0.584 0.747
La1 0.334 0.666 0.000
Tm1 0.000 0.000 0.000
Er2 0.584 0.915 0.747
Er3 0.753 0.753 0.253
La2 0.666 0.334 0.000
Y1 0.166 0.834 0.500
Y2 0.500 0.500 0.500
Er4 0.247 0.247 0.747
Er5 0.416 0.085 0.253
Er6 0.085 0.416 0.253
Y3 0.834 0.166 0.500
```

Entry from the Alexandria database: a geometry-optimized Na5CePb6 structure (PBE).

Computed properties:
Calculated formation energy   -0.164 eV per atom
V   348 Å³ per cell
Total energy   -3.06 eV/atom

Geometry as CIF:
```
data_Na5CePb6
_symmetry_space_group_name_H-M 'P 1'
_symmetry_Int_Tables_number 1
_cell_length_a 5.016
_cell_length_b 9.184
_cell_length_c 7.965
_cell_angle_alpha 90.00
_cell_angle_beta 71.65
_cell_angle_gamma 90.00
loop_
_symmetry_equiv_pos_as_xyz
'x,y,z'
loop_
_atom_site_label
_atom_site_fract_x
_atom_site_fract_y
_atom_site_fract_z
Pb1 0.833 0.751 0.333
Pb2 0.833 0.249 0.333
Na1 0.326 0.000 0.349
Pb3 0.500 0.760 0.000
Na2 0.668 0.500 0.664
Ce1 0.000 0.000 0.000
Na3 0.332 0.500 0.336
Pb4 0.500 0.240 0.000
Na4 0.674 0.000 0.651
Pb5 0.167 0.751 0.667
Pb6 0.167 0.249 0.667
Na5 0.000 0.500 0.000
```

Entry from the Alexandria database: a geometry-optimized Nd2Er5In structure (PBE).

Computed properties:
Calculated formation energy   -0.064 eV per atom
V   245 Å³ per cell
Energy relative to the lowest polymorph listed for this composition   36 meV per atom
Total energy   -4.45 eV/atom

Geometry as CIF:
```
data_Nd2Er5In
_symmetry_space_group_name_H-M 'P 1'
_symmetry_Int_Tables_number 1
_cell_length_a 8.522
_cell_length_b 7.121
_cell_length_c 6.871
_cell_angle_alpha 121.23
_cell_angle_beta 128.33
_cell_angle_gamma 90.00
loop_
_symmetry_equiv_pos_as_xyz
'x,y,z'
loop_
_atom_site_label
_atom_site_fract_x
_atom_site_fract_y
_atom_site_fract_z
In1 0.187 0.187 0.374
Er1 0.269 0.715 0.943
Er2 0.786 0.786 0.572
Nd1 0.164 0.664 0.329
Er3 0.674 0.715 0.943
Nd2 0.756 0.256 0.511
Er4 0.269 0.227 0.942
Er5 0.673 0.227 0.942
```

Entry from the Alexandria database: a geometry-optimized TaCrCl2 structure (PBE).

Computed properties:
ΔE_f (raw)   822 meV/atom
V   69 Å³ per cell
Energy relative to the lowest polymorph listed for this composition   1219 meV per atom
Total energy   -5.47 eV/atom

Geometry as CIF:
```
data_TaCrCl2
_symmetry_space_group_name_H-M 'P 1'
_symmetry_Int_Tables_number 1
_cell_length_a 4.610
_cell_length_b 4.610
_cell_length_c 4.610
_cell_angle_alpha 60.00
_cell_angle_beta 60.00
_cell_angle_gamma 60.00
loop_
_symmetry_equiv_pos_as_xyz
'x,y,z'
loop_
_atom_site_label
_atom_site_fract_x
_atom_site_fract_y
_atom_site_fract_z
Cl1 0.250 0.250 0.250
Cl2 0.000 0.000 0.000
Cr1 0.500 0.500 0.500
Ta1 0.750 0.750 0.750
```

Entry from the Alexandria database: a geometry-optimized ErCdCoPd structure (PBE).

Computed properties:
Calculated formation energy   -0.318 eV per atom
V   71 Å³ per cell
Total energy   -4.76 eV/atom

Geometry as CIF:
```
data_ErCdCoPd
_symmetry_space_group_name_H-M 'P 1'
_symmetry_Int_Tables_number 1
_cell_length_a 4.649
_cell_length_b 4.649
_cell_length_c 4.649
_cell_angle_alpha 60.00
_cell_angle_beta 60.00
_cell_angle_gamma 60.00
loop_
_symmetry_equiv_pos_as_xyz
'x,y,z'
loop_
_atom_site_label
_atom_site_fract_x
_atom_site_fract_y
_atom_site_fract_z
Pd1 0.000 0.000 0.000
Er1 0.250 0.250 0.250
Cd1 0.750 0.750 0.750
Co1 0.500 0.500 0.500
```